# 1
Here is an optimized crystal structure of Sr2Mg from Alexandria via LeMat-Bulk. Energies are from PBEsol.

Cell and atoms, written as POSCAR:
```
Sr2Mg
1.0
9.2850 0.0000 0.0000
-4.6425 8.0410 0.0000
0.0000 0.0000 5.1482
Sr Mg
6 3
direct
0.0000 0.2541 0.0000 Sr
0.0000 0.5919 0.5000 Sr
0.2541 0.0000 0.0000 Sr
0.4081 0.4081 0.5000 Sr
0.5919 0.0000 0.5000 Sr
0.7459 0.7459 0.0000 Sr
0.0000 0.0000 0.5000 Mg
0.3333 0.6667 0.0000 Mg
0.6667 0.3333 0.0000 Mg
```

Results
- VASP energy (eV/atom) = -1.79
- total magnetization (μB/cell) = 0.0
- D(E_F) (states/eV/f.u.) = 3.322
- space group = P-62m (189)


# 2
Here is an optimized crystal structure of In2AgPt from Alexandria via LeMat-Bulk. Energies are from PBEsol.

Cell and atoms, written as POSCAR:
```
In2AgPt
1.0
3.1182 0.0000 0.0000
-1.5591 2.7005 0.0000
0.0000 0.0000 26.6361
In Ag Pt
6 3 3
direct
0.0000 0.0000 0.2466 In
0.0000 0.0000 0.7534 In
0.3333 0.6667 0.4200 In
0.3333 0.6667 0.9133 In
0.6667 0.3333 0.0867 In
0.6667 0.3333 0.5800 In
0.0000 0.0000 0.0000 Ag
0.3333 0.6667 0.6667 Ag
0.6667 0.3333 0.3333 Ag
0.0000 0.0000 0.5000 Pt
0.3333 0.6667 0.1667 Pt
0.6667 0.3333 0.8333 Pt
```

Results
- E above lowest polymorph (meV per atom) = 98.0
- total magnetization (μB/cell) = 0.0
- D(E_F) (states/eV/f.u.) = 1.713
- space group = R-3m (166)


# 3
Here is an optimized crystal structure of CrCo2BAu from Alexandria via LeMat-Bulk. Energies are from PBEsol.

Cell and atoms, written as POSCAR:
```
CrCo2BAu
1.0
4.5605 0.0000 0.0000
0.0000 4.5605 0.0000
0.0000 0.0000 4.8429
Cr Co B Au
1 2 1 1
direct
0.0000 0.0000 0.0000 Cr
0.0000 0.5000 0.5000 Co
0.5000 0.0000 0.5000 Co
0.5000 0.5000 0.0000 B
0.0000 0.0000 0.5000 Au
```

Results
- VASP energy (eV/atom) = -4.92
- total magnetization (μB/cell) = 8.1
- D(E_F) (states/eV/f.u.) = 9.773
- space group = P4/mmm (123)


# 4
Here is an optimized crystal structure of ReMo2H2 from Alexandria via LeMat-Bulk. Energies are from PBEsol.

Cell and atoms, written as POSCAR:
```
ReMo2H2
1.0
2.8892 0.0000 0.0000
0.0000 2.8892 0.0000
0.0000 0.0000 12.1349
Re Mo H
2 4 4
direct
0.0000 0.0000 0.0000 Re
0.5000 0.5000 0.5000 Re
0.0000 0.0000 0.3532 Mo
0.0000 0.0000 0.6468 Mo
0.5000 0.5000 0.1468 Mo
0.5000 0.5000 0.8532 Mo
0.0000 0.5000 0.2500 H
0.0000 0.5000 0.7500 H
0.5000 0.0000 0.2500 H
0.5000 0.0000 0.7500 H
```

Results
- VASP energy (eV/atom) = -8.68
- total magnetization (μB/cell) = 0.0
- D(E_F) (states/eV/f.u.) = 2.326
- space group = I4/mmm (139)


# 5
Here is an optimized crystal structure of TbGe2Pd2 from Alexandria via LeMat-Bulk. Energies are from PBEsol.

Cell and atoms, written as POSCAR:
```
TbGe2Pd2
1.0
4.1987 0.0000 0.0000
0.0000 4.1987 0.0000
0.0000 0.0000 10.0858
Tb Ge Pd
2 4 4
direct
0.0000 0.0000 0.0000 Tb
0.5000 0.5000 0.5000 Tb
0.0000 0.0000 0.3809 Ge
0.0000 0.0000 0.6191 Ge
0.5000 0.5000 0.1191 Ge
0.5000 0.5000 0.8809 Ge
0.0000 0.5000 0.2500 Pd
0.0000 0.5000 0.7500 Pd
0.5000 0.0000 0.2500 Pd
0.5000 0.0000 0.7500 Pd
```

Results
- VASP energy (eV/atom) = -6.21
- total magnetization (μB/cell) = 0.0
- D(E_F) (states/eV/f.u.) = 2.678
- space group = I4/mmm (139)


# 6
Here is an optimized crystal structure of TaNi2P from Alexandria via LeMat-Bulk. Energies are from PBEsol.

Cell and atoms, written as POSCAR:
```
TaNi2P
1.0
3.5709 0.0000 0.0000
0.0000 2.8450 0.0000
0.0000 0.0000 9.8286
Ta Ni P
2 4 2
direct
0.0000 0.0000 0.0000 Ta
0.0000 0.5000 0.5000 Ta
0.0000 0.0000 0.7423 Ni
0.0000 0.5000 0.2423 Ni
0.5000 0.0000 0.3582 Ni
0.5000 0.5000 0.8582 Ni
0.5000 0.0000 0.6219 P
0.5000 0.5000 0.1219 P
```

Results
- VASP energy (eV/atom) = -8.11
- total magnetization (μB/cell) = 0.0
- D(E_F) (states/eV/f.u.) = 1.806
- space group = Amm2 (38)


# 7
Here is an optimized crystal structure of SiNiPt from Alexandria via LeMat-Bulk. Energies are from PBEsol.

Cell and atoms, written as POSCAR:
```
SiNiPt
1.0
5.4815 0.0000 0.0000
0.0000 5.4815 0.0000
0.0000 0.0000 5.4815
Si Ni Pt
4 4 4
direct
0.0000 0.0000 0.0000 Si
0.0000 0.5000 0.5000 Si
0.5000 0.0000 0.5000 Si
0.5000 0.5000 0.0000 Si
0.2500 0.2500 0.7500 Ni
0.2500 0.7500 0.2500 Ni
0.7500 0.2500 0.2500 Ni
0.7500 0.7500 0.7500 Ni
0.2500 0.2500 0.2500 Pt
0.2500 0.7500 0.7500 Pt
0.7500 0.2500 0.7500 Pt
0.7500 0.7500 0.2500 Pt
```

Results
- formation energy from raw total energies (eV per atom) = -0.631
- total magnetization (μB/cell) = 0.0
- D(E_F) (states/eV/f.u.) = 1.424
- space group = F-43m (216)


# 8
Here is an optimized crystal structure of PdI2NO from Alexandria via LeMat-Bulk. Energies are from PBEsol.

Cell and atoms, written as POSCAR:
```
PdI2NO
1.0
5.5870 0.0000 0.0000
0.0000 5.5870 0.0000
0.0000 0.0000 3.7039
Pd I N O
1 2 1 1
direct
0.0000 0.0000 0.0000 Pd
0.0000 0.5000 0.0000 I
0.5000 0.0000 0.0000 I
0.5000 0.5000 0.5000 N
0.0000 0.0000 0.5000 O
```

Results
- formation energy from raw total energies (eV per atom) = 1.083
- total magnetization (μB/cell) = 2.5
- D(E_F) (states/eV/f.u.) = 5.939
- space group = P4/mmm (123)


D(E_F) of number 3 (CrCo2BAu)? 9.773 states/eV/f.u.